Entry 1:
Er6Ga5Sn: optimized geometry, PBE-GGA.

Cell lengths 6.319, 6.319, 8.708 Å; angles 96.43, 96.43, 118.37 degrees
Sites, in units of the cell vectors:
Er: 0.056 0.407 0.727
Er: 0.212 0.212 0.229
Er: 0.407 0.056 0.727
Er: 0.593 0.944 0.273
Er: 0.788 0.788 0.771
Er: 0.944 0.593 0.273
Ga: 0.000 0.000 0.500
Ga: 0.198 0.802 0.000
Ga: 0.374 0.626 0.500
Ga: 0.626 0.374 0.500
Ga: 0.802 0.198 0.000
Sn: 0.500 0.500 0.000

Output
For the calculated total energy, the calculation gives -0.159 hartree per atom. As for the density of states at the Fermi level: 0.66 states/eV/atom.

=====

Entry 2:
AsPtRh2: optimized geometry, PBE-GGA.

Cell lengths 4.610, 4.610, 2.949 Å; angles 90.00, 90.00, 106.56 degrees
Sites, in units of the cell vectors:
As: 0.000 0.000 0.000
Pt: 0.500 0.500 0.000
Rh: 0.000 0.500 0.500
Rh: 0.500 0.000 0.500

Output
For the calculated total energy, the calculation gives -0.238 hartree per atom. As for the density of states at the Fermi level: 0.83 states/eV/atom.

=====

Entry 3:
KPrS2O8: optimized geometry, PBE-GGA.

Cell lengths 5.489, 5.489, 8.218 Å; angles 90.00, 90.00, 120.00 degrees
Sites, in units of the cell vectors:
K: 0.000 0.000 0.000
Pr: 0.000 0.000 0.500
S: 0.333 0.667 0.749
S: 0.667 0.333 0.251
O: 0.136 0.379 0.684
O: 0.243 0.864 0.684
O: 0.333 0.667 0.926
O: 0.379 0.243 0.316
O: 0.621 0.757 0.684
O: 0.667 0.333 0.074
O: 0.757 0.136 0.316
O: 0.864 0.621 0.316

Output
For the calculated total energy, the calculation gives -0.240 hartree per atom. As for the density of states at the Fermi level: 0.00 states/eV/atom. For the uncorrected formation energy, the calculation gives -2.05 eV per atom. The calculation puts the polymorph energy (0 for the lowest one) at 0.76 kcal/mol of atoms.

=====

Entry 4:
CaTbHo4S8: optimized geometry, PBE-GGA.

Cell lengths 8.075, 8.075, 8.075 Å; angles 59.87, 59.87, 59.87 degrees
Sites, in units of the cell vectors:
Ca: 0.000 0.000 0.000
Tb: 0.627 0.627 0.627
Ho: 0.119 0.627 0.627
Ho: 0.250 0.250 0.250
Ho: 0.627 0.119 0.627
Ho: 0.627 0.627 0.119
S: 0.382 0.382 0.853
S: 0.382 0.853 0.382
S: 0.383 0.383 0.383
S: 0.407 0.866 0.866
S: 0.853 0.382 0.382
S: 0.865 0.865 0.865
S: 0.866 0.407 0.866
S: 0.866 0.866 0.407

Output
For the calculated total energy, the calculation gives -0.226 hartree per atom. As for the density of states at the Fermi level: 0.25 states/eV/atom. For the uncorrected formation energy, the calculation gives -2.00 eV per atom.

=====

Entry 5:
TaGe4Mo: optimized geometry, PBE-GGA.

Cell lengths 5.511, 7.927, 4.840 Å; angles 90.00, 105.38, 90.00 degrees
Sites, in units of the cell vectors:
Ta: 0.000 0.000 0.000
Ta: 0.000 0.500 0.500
Ge: 0.155 0.161 0.556
Ge: 0.155 0.339 0.056
Ge: 0.350 0.667 0.957
Ge: 0.350 0.833 0.457
Ge: 0.650 0.167 0.543
Ge: 0.650 0.333 0.043
Ge: 0.845 0.661 0.944
Ge: 0.845 0.839 0.444
Mo: 0.500 0.000 0.000
Mo: 0.500 0.500 0.500

Output
For the calculated total energy, the calculation gives -0.244 hartree per atom. As for the density of states at the Fermi level: 0.47 states/eV/atom. The calculation puts the polymorph energy (0 for the lowest one) at 8.63 kcal/mol of atoms.

=====

Entry 6:
ErGaSnRh: optimized geometry, PBE-GGA.

Cell lengths 4.806, 4.806, 4.806 Å; angles 60.00, 60.00, 60.00 degrees
Sites, in units of the cell vectors:
Er: 0.000 0.000 0.000
Ga: 0.250 0.250 0.250
Sn: 0.500 0.500 0.500
Rh: 0.750 0.750 0.750

Output
For the calculated total energy, the calculation gives -0.193 hartree per atom. As for the density of states at the Fermi level: 0.91 states/eV/atom.

=====

Entry 7:
Hg3BiPd: optimized geometry, PBE-GGA.

Cell lengths 5.211, 5.211, 5.211 Å; angles 90.00, 90.00, 90.00 degrees
Sites, in units of the cell vectors:
Hg: 0.000 0.000 0.500
Hg: 0.000 0.500 0.000
Hg: 0.500 0.000 0.000
Bi: 0.500 0.500 0.500
Pd: 0.000 0.000 0.000

Output
For the calculated total energy, the calculation gives -0.065 hartree per atom. As for the density of states at the Fermi level: 0.48 states/eV/atom. The calculation puts the polymorph energy (0 for the lowest one) at 0.00 kcal/mol of atoms.

=====

Entry 8:
Ti3TlH2: optimized geometry, PBE-GGA.

Cell lengths 5.720, 3.026, 9.713 Å; angles 90.00, 97.93, 90.00 degrees
Sites, in units of the cell vectors:
Ti: 0.042 0.250 0.375
Ti: 0.233 0.250 0.872
Ti: 0.388 0.250 0.613
Ti: 0.612 0.750 0.387
Ti: 0.767 0.750 0.128
Ti: 0.958 0.750 0.625
Tl: 0.277 0.750 0.139
Tl: 0.723 0.250 0.861
H: 0.073 0.750 0.819
H: 0.402 0.250 0.417
H: 0.598 0.750 0.583
H: 0.927 0.250 0.181

Output
For the calculated total energy, the calculation gives -0.203 hartree per atom. As for the density of states at the Fermi level: 0.63 states/eV/atom.

=====

> Which formula does entry 6 have?

ErGaSnRh

=====

> Number 7 is which compound?

Hg3BiPd